Record 1
The following is a PBE calculation of a relaxed La2CrOsPd crystal, from Alexandria via LeMat-Bulk.

Cell lengths 5.5703, 4.6309, 5.5703 Å; angles 90.00, 90.00, 90.00 degrees
Last column: magnetic moment on the atom in μB.
Atoms (fractional coordinates):
Cr1 0.0000 0.5000 0.0000  3.11
Os1 0.0000 0.0000 0.0000  -0.15
Pd1 0.5000 0.5000 0.5000  0.07
La1 0.0000 0.0000 0.5000  0.01
La2 0.5000 0.0000 0.0000  0.03

DOS(E_F), states/eV/cell: 3.23
Raw total energy, eV per atom: -6.95
ρ, Mg/m³: 7.240

Record 2
The following is a PBE calculation of a relaxed Na2MnGa3Pt4 crystal, from Alexandria via LeMat-Bulk.

Cell lengths 4.0913, 4.0913, 11.0925 Å; angles 90.00, 90.00, 90.00 degrees
Last column: magnetic moment on the atom in μB.
Atoms (fractional coordinates):
Na1 0.5000 0.0000 0.2467  0.00
Na2 0.0000 0.5000 0.7533  0.00
Mn1 0.5000 0.5000 0.5000  3.80
Ga1 0.0000 0.0000 0.5000  -0.05
Ga2 0.5000 0.0000 0.8644  -0.01
Ga3 0.0000 0.5000 0.1356  -0.01
Pt1 0.5000 0.5000 0.0000  0.00
Pt2 0.0000 0.0000 0.0000  -0.01
Pt3 0.5000 0.0000 0.6408  0.13
Pt4 0.0000 0.5000 0.3592  0.13

DOS(E_F), states/eV/cell: 2.69
Raw total energy, eV per atom: -5.01
ρ, Mg/m³: 9.752

Record 3
The following is a PBE calculation of a relaxed Ba2NaF crystal, from Alexandria via LeMat-Bulk.

Cell lengths 4.3272, 4.3272, 9.9865 Å; angles 77.49, 77.49, 60.00 degrees
Last column: magnetic moment on the atom in μB.
Atoms (fractional coordinates):
Ba1 0.0545 0.0545 0.8366  0.24
Ba2 0.2779 0.2779 0.1662  0.23
Na1 0.4990 0.4990 0.5031  0.00
F1 0.6686 0.6686 0.9941  0.03

DOS(E_F), states/eV/cell: 3.38
Uncorrected formation energy, meV per atom: -1193.6
Raw total energy, eV per atom: -2.95
ρ, Mg/m³: 3.353

Record 4
The following is a PBE calculation of a relaxed Ac12Pu3Si5 crystal, from Alexandria via LeMat-Bulk.

Cell lengths 16.4320, 16.4320, 16.4320 Å; angles 109.47, 109.47, 109.47 degrees
Last column: magnetic moment on the atom in μB.
Atoms (fractional coordinates):
Pu1 0.7500 0.3750 0.1250  5.95
Pu2 0.8750 0.7500 0.1250  5.95
Pu3 0.3750 0.7500 0.6250  5.95
Pu4 0.2500 0.1250 0.3750  5.95
Pu5 0.8750 0.1250 0.2500  5.95
Pu6 0.3750 0.6250 0.2500  5.95
Pu7 0.6250 0.3750 0.7500  5.95
Pu8 0.1250 0.8750 0.7500  5.95
Pu9 0.7500 0.8750 0.6250  5.95
Pu10 0.6250 0.2500 0.3750  5.95
Pu11 0.1250 0.2500 0.8750  5.95
Pu12 0.2500 0.6250 0.8750  5.95
Si1 0.1250 0.3750 0.2500  -0.03
Si2 0.0000 0.5000 0.0000  0.01
Si3 0.0000 0.0000 0.0000  0.01
Si4 0.3750 0.2500 0.1250  -0.03
Si5 0.5000 0.0000 0.5000  0.01
Si6 0.5000 0.5000 0.0000  0.01
Si7 0.1250 0.7500 0.3750  -0.03
Si8 0.7500 0.1250 0.8750  -0.03
Si9 0.7500 0.6250 0.3750  -0.03
Si10 0.3750 0.1250 0.7500  -0.03
Si11 0.6250 0.8750 0.2500  -0.03
Si12 0.5000 0.5000 0.5000  0.01
Si13 0.5000 0.0000 0.0000  0.01
Si14 0.0000 0.0000 0.5000  0.01
Si15 0.2500 0.3750 0.6250  -0.03
Si16 0.2500 0.8750 0.1250  -0.03
Si17 0.0000 0.5000 0.5000  0.01
Si18 0.8750 0.2500 0.6250  -0.03
Si19 0.6250 0.7500 0.8750  -0.03
Si20 0.8750 0.6250 0.7500  -0.03
Ac1 0.7146 0.1169 0.0389  0.14
Ac2 0.3243 0.5389 0.4220  0.14
Ac3 0.9611 0.3831 0.2854  0.14
Ac4 0.5389 0.2146 0.1169  0.14
Ac5 0.5977 0.7146 0.6757  0.14
Ac6 0.9611 0.5780 0.1757  0.14
Ac7 0.3243 0.7854 0.4023  0.14
Ac8 0.0780 0.9023 0.1169  0.14
Ac9 0.5780 0.9611 0.6757  0.14
Ac10 0.7146 0.5977 0.1757  0.14
Ac11 0.7854 0.4611 0.3831  0.14
Ac12 0.8243 0.9220 0.0389  0.14
Ac13 0.1169 0.7146 0.5389  0.14
Ac14 0.3831 0.4220 0.0977  0.14
Ac15 0.0977 0.9220 0.3831  0.14
Ac16 0.4023 0.1169 0.5780  0.14
Ac17 0.0977 0.1757 0.2146  0.14
Ac18 0.4611 0.6757 0.0780  0.14
Ac19 0.8243 0.9023 0.2854  0.14
Ac20 0.1169 0.4023 0.0780  0.14
Ac21 0.3831 0.9611 0.7854  0.14
Ac22 0.5780 0.6169 0.4023  0.14
Ac23 0.9220 0.8243 0.5389  0.14
Ac24 0.7854 0.3243 0.9023  0.14
Ac25 0.4220 0.3831 0.5977  0.14
Ac26 0.0780 0.1757 0.4611  0.14
Ac27 0.2146 0.6757 0.0977  0.14
Ac28 0.1757 0.0977 0.7146  0.14
Ac29 0.6169 0.0389 0.2146  0.14
Ac30 0.8831 0.5977 0.9220  0.14
Ac31 0.5389 0.3243 0.9220  0.14
Ac32 0.5977 0.8831 0.4220  0.14
Ac33 0.9023 0.8243 0.7854  0.14
Ac34 0.9023 0.0780 0.6169  0.14
Ac35 0.8831 0.2854 0.4611  0.14
Ac36 0.1757 0.0780 0.9611  0.14
Ac37 0.6169 0.5780 0.9023  0.14
Ac38 0.4220 0.0389 0.3243  0.14
Ac39 0.2854 0.4023 0.8243  0.14
Ac40 0.2146 0.5389 0.6169  0.14
Ac41 0.9220 0.0977 0.8831  0.14
Ac42 0.6757 0.2146 0.5977  0.14
Ac43 0.4611 0.7854 0.8831  0.14
Ac44 0.0389 0.4220 0.8243  0.14
Ac45 0.4023 0.2854 0.3243  0.14
Ac46 0.0389 0.6169 0.7146  0.14
Ac47 0.6757 0.4611 0.5780  0.14
Ac48 0.2854 0.8831 0.9611  0.14

DOS(E_F), states/eV/cell: 241.08
Uncorrected formation energy, meV per atom: 301.0
Raw total energy, eV per atom: -5.67
ρ, Mg/m³: 6.994